# YPd2Rh2

Crystalline YPd2Rh2 at its relaxed geometry (PBE-GGA, Alexandria).

Cell lengths 3.9122, 3.9122, 12.0209 Å; angles 90.00, 90.00, 90.00 degrees
Space group I4/mmm (No. 139)
One atom of each set of equivalent atoms:
Y 0.0000 0.0000 0.0000
Pd 0.0000 0.5000 0.2500
Rh 0.0000 0.0000 0.4008

Results
Total energy in eV per atom: -6.56
DFT formation energy in meV per atom: -249